# 1
AlCdBiC2: optimized geometry, PBE.

Cell lengths 4.085, 4.085, 5.848 Å; angles 90.00, 90.00, 90.00 degrees
Sites, in units of the cell vectors:
1 Al 0.000 0.000 0.000
2 Cd 0.500 0.500 0.500
3 Bi 0.000 0.000 0.500
4 C 0.000 0.500 0.000
5 C 0.500 0.000 0.000

Results
Formation energy from the elements: 1.707 eV per atom
Spin magnetization: 0.00 μB per atom

---

# 2
Al2CuBiC: optimized geometry, PBE.

Cell lengths 4.256, 4.256, 4.352 Å; angles 90.00, 90.00, 90.00 degrees
Sites, in units of the cell vectors:
1 Al 0.000 0.500 0.000
2 Al 0.500 0.000 0.000
3 Cu 0.000 0.000 0.500
4 Bi 0.500 0.500 0.500
5 C 0.000 0.000 0.000

Results
Formation energy from the elements: 0.469 eV per atom
Spin magnetization: 0.00 μB per atom

---

# 3
Er4AlBiC: optimized geometry, PBE.

Cell lengths 8.551, 8.551, 6.727 Å; angles 90.00, 90.00, 133.67 degrees
Sites, in units of the cell vectors:
1 Er 0.000 0.500 0.000
2 Er 0.000 0.500 0.500
3 Er 0.088 0.912 0.750
4 Er 0.404 0.596 0.750
5 Er 0.500 0.000 0.000
6 Er 0.500 0.000 0.500
7 Er 0.596 0.404 0.250
8 Er 0.912 0.088 0.250
9 Al 0.115 0.885 0.250
10 Al 0.885 0.115 0.750
11 Bi 0.395 0.605 0.250
12 Bi 0.605 0.395 0.750
13 C 0.249 0.751 0.750
14 C 0.751 0.249 0.250

Results
Formation energy from the elements: -0.504 eV per atom
Spin magnetization: 0.00 μB per atom

---

# 4
AlGa2BiC: optimized geometry, PBE.

Cell lengths 5.631, 5.631, 5.660 Å; angles 90.00, 90.00, 90.00 degrees
Sites, in units of the cell vectors:
1 Al 0.000 0.000 0.000
2 Ga 0.000 0.500 0.500
3 Ga 0.500 0.000 0.500
4 Bi 0.000 0.000 0.500
5 C 0.500 0.500 0.000

Results
Formation energy from the elements: 2.021 eV per atom
Spin magnetization: 0.41 μB per atom